VASP calculation (PBEsol) on a relaxed structure of Tl2HgPb.

Cell: 3.8511 5.2617 5.3684 Å, 90.00 90.00 90.00°
Fractional positions:
Pb  0.0000  0.5000  0.5000
Hg  0.5000  0.0000  0.5000
Tl  0.0000  0.0000  0.0000
Tl  0.5000  0.5000  0.0000

Calculated values
formation enthalpy at 0 K	7	meV per atom
spin magnetization	0.0	μB per cell
symmetry	Pmmm